Computed, not measured: an optimized crystal structure of CaTa2Ir at the PBE-GGA level of DFT.

## Properties
Energy above the lowest structure with this stoichiometry, eV per atom: 0.411
Total magnetic moment, Bohr magnetons per cell: 0.00
Calculated volume, Å³/f.u.: 75

a b c (Å): 2.915 4.524 5.722
angles (deg): 90.00 90.00 90.00
Sites, in units of the cell vectors:
Ca 0.000 0.000 0.000
Ta 0.500 0.500 0.270
Ta 0.500 0.500 0.730
Ir 0.000 0.000 0.500